{"formula": "Al2AgSe", "functional": "PBE-GGA", "state": "relaxed", "lattice_angstrom": [[-3.1113, 3.1113, 5.1961], [3.1113, -3.1113, 5.1961], [3.1113, 3.1113, -5.1961]], "species": ["Al", "Al", "Al", "Al", "Ag", "Ag", "Se", "Se"], "fractional_positions": [[0.1207, 0.6250, 0.9957], [0.3750, 0.3707, 0.4957], [0.6293, 0.1250, 0.0043], [0.8750, 0.8793, 0.5043], [0.0000, 0.0000, 0.0000], [0.7500, 0.2500, 0.5000], [0.2500, 0.7500, 0.5000], [0.5000, 0.5000, 0.0000]], "energy_ev_per_cell": -27.60, "e_form_raw_ev_per_fu": 0.02}